(1)
Sr2CuCl | PBE-GGA | optimized geometry

The structure in POSCAR format:
```
Sr2CuCl
1.0
4.755 0.000 0.000
0.000 4.002 0.000
0.000 0.000 13.069
Sr Cu Cl
4 2 2
Direct
0.000 0.000 0.000
0.000 0.500 0.500
0.500 0.000 0.259
0.500 0.500 0.759
0.500 0.000 0.530
0.500 0.500 0.030
0.000 0.000 0.771
0.000 0.500 0.271
```

Computed properties:
* final energy: -3.069 eV per atom
* crystal system: orthorhombic
* N(E_F): 3.3 states/eV/f.u.
* energy relative to the elements, uncorrected: -0.742 eV per atom


(2)
SrCu2Cl | PBE-GGA | optimized geometry

The structure in POSCAR format:
```
SrCu2Cl
1.0
3.923 0.000 0.000
0.000 3.960 0.000
0.000 0.000 5.804
Sr Cu Cl
1 2 1
Direct
0.000 0.000 0.000
0.000 0.500 0.500
0.500 0.000 0.500
0.500 0.500 0.000
```

Computed properties:
* final energy: -3.332 eV per atom
* crystal system: orthorhombic
* N(E_F): 0.9 states/eV/f.u.
* energy relative to the elements, uncorrected: -0.402 eV per atom


(3)
SrCuCl | PBE-GGA | optimized geometry

The structure in POSCAR format:
```
SrCuCl
1.0
4.346 0.000 0.000
-2.173 3.764 0.000
0.000 0.000 6.212
Sr Cu Cl
1 1 1
Direct
0.000 0.000 0.000
0.333 0.667 0.698
0.667 0.333 0.239
```

Computed properties:
* final energy: -3.340 eV per atom
* crystal system: trigonal
* N(E_F): 0.0 states/eV/f.u.
* energy relative to the elements, uncorrected: -0.799 eV per atom


(4)
SrCuCl2 | PBE-GGA | optimized geometry

The structure in POSCAR format:
```
SrCuCl2
1.0
3.905 0.000 0.000
0.000 4.749 0.000
0.000 0.000 4.778
Sr Cu Cl
1 1 2
Direct
0.000 0.000 0.000
0.000 0.500 0.500
0.500 0.000 0.500
0.500 0.500 0.000
```

Computed properties:
* final energy: -3.409 eV per atom
* crystal system: orthorhombic
* N(E_F): 1.2 states/eV/f.u.
* energy relative to the elements, uncorrected: -1.042 eV per atom


(5)
SrCuCl2 | PBE-GGA | optimized geometry

The structure in POSCAR format:
```
SrCuCl2
1.0
5.949 0.000 0.000
0.000 5.957 0.000
0.000 0.000 5.631
Sr Cu Cl
2 2 4
Direct
0.000 0.000 0.000
0.500 0.500 0.000
0.000 0.500 0.374
0.500 0.000 0.374
0.000 0.000 0.493
0.000 0.500 0.838
0.500 0.000 0.838
0.500 0.500 0.493
```

Computed properties:
* final energy: -3.389 eV per atom
* crystal system: orthorhombic
* N(E_F): 2.1 states/eV/f.u.
* energy relative to the elements, uncorrected: -1.021 eV per atom


(6)
Sr2CuCl | PBE-GGA | optimized geometry

The structure in POSCAR format:
```
Sr2CuCl
1.0
4.292 0.000 0.000
-2.146 3.717 0.000
0.000 0.000 23.645
Sr Cu Cl
6 3 3
Direct
0.000 0.000 0.242
0.000 0.000 0.758
0.333 0.667 0.424
0.333 0.667 0.909
0.667 0.333 0.091
0.667 0.333 0.576
0.000 0.000 0.500
0.333 0.667 0.167
0.667 0.333 0.833
0.000 0.000 0.000
0.333 0.667 0.667
0.667 0.333 0.333
```

Computed properties:
* final energy: -3.193 eV per atom
* crystal system: trigonal
* N(E_F): 1.2 states/eV/f.u.
* energy relative to the elements, uncorrected: -0.866 eV per atom


(7)
SrCuCl2 | PBE-GGA | optimized geometry

The structure in POSCAR format:
```
SrCuCl2
1.0
5.191 0.000 0.000
0.000 5.191 0.000
0.000 0.000 16.739
Sr Cu Cl
4 4 8
Direct
0.000 0.000 0.000
0.000 0.500 0.250
0.500 0.000 0.750
0.500 0.500 0.500
0.000 0.000 0.500
0.000 0.500 0.750
0.500 0.000 0.250
0.500 0.500 0.000
0.214 0.250 0.625
0.250 0.714 0.875
0.250 0.786 0.375
0.286 0.250 0.125
0.714 0.750 0.125
0.750 0.214 0.375
0.750 0.286 0.875
0.786 0.750 0.625
```

Computed properties:
* final energy: -3.369 eV per atom
* crystal system: tetragonal
* N(E_F): 1.1 states/eV/f.u.
* energy relative to the elements, uncorrected: -1.001 eV per atom


(8)
Sr2CuCl | PBE-GGA | optimized geometry

The structure in POSCAR format:
```
Sr2CuCl
1.0
3.759 0.000 0.000
0.000 3.759 0.000
0.000 0.000 8.096
Sr Cu Cl
2 1 1
Direct
0.000 0.000 0.225
0.000 0.000 0.775
0.500 0.500 0.000
0.500 0.500 0.500
```

Computed properties:
* final energy: -3.086 eV per atom
* crystal system: tetragonal
* N(E_F): 2.2 states/eV/f.u.
* energy relative to the elements, uncorrected: -0.760 eV per atom


(9)
SrCuCl | PBE-GGA | optimized geometry

The structure in POSCAR format:
```
SrCuCl
1.0
7.067 0.000 0.000
0.000 7.067 0.000
0.000 0.000 7.067
Sr Cu Cl
4 4 4
Direct
0.000 0.000 0.000
0.000 0.500 0.500
0.500 0.000 0.500
0.500 0.500 0.000
0.250 0.250 0.750
0.250 0.750 0.250
0.750 0.250 0.250
0.750 0.750 0.750
0.000 0.000 0.500
0.000 0.500 0.000
0.500 0.000 0.000
0.500 0.500 0.500
```

Computed properties:
* final energy: -3.065 eV per atom
* crystal system: cubic
* energy relative to the elements, uncorrected: -0.524 eV per atom


(10)
Sr2CuCl | PBE-GGA | optimized geometry

The structure in POSCAR format:
```
Sr2CuCl
1.0
4.288 0.000 0.000
-2.144 3.713 0.000
0.000 0.000 23.977
Sr Cu Cl
6 3 3
Direct
0.000 0.000 0.000
0.000 0.000 0.186
0.333 0.667 0.667
0.333 0.667 0.853
0.667 0.333 0.333
0.667 0.333 0.519
0.000 0.000 0.592
0.333 0.667 0.259
0.667 0.333 0.925
0.000 0.000 0.765
0.333 0.667 0.432
0.667 0.333 0.098
```

Computed properties:
* final energy: -3.173 eV per atom
* crystal system: trigonal
* N(E_F): 1.1 states/eV/f.u.
* energy relative to the elements, uncorrected: -0.846 eV per atom


(11)
Sr2CuCl | PBE-GGA | optimized geometry

The structure in POSCAR format:
```
Sr2CuCl
1.0
4.406 0.000 0.000
0.000 6.365 0.000
0.000 0.000 4.419
Sr Cu Cl
2 1 1
Direct
0.000 0.000 0.000
0.498 0.500 0.499
0.501 0.000 0.501
0.999 0.500 0.999
```

Computed properties:
* final energy: -3.138 eV per atom
* crystal system: monoclinic
* N(E_F): 3.8 states/eV/f.u.
* energy relative to the elements, uncorrected: -0.811 eV per atom


(12)
SrCuCl | PBE-GGA | optimized geometry

The structure in POSCAR format:
```
SrCuCl
1.0
12.107 0.000 0.000
0.000 4.243 0.000
0.000 0.000 7.343
Sr Cu Cl
4 4 4
Direct
0.159 0.000 0.000
0.159 0.500 0.500
0.841 0.000 0.000
0.841 0.500 0.500
0.000 0.000 0.666
0.000 0.500 0.166
0.500 0.000 0.665
0.500 0.500 0.165
0.322 0.000 0.667
0.322 0.500 0.167
0.678 0.000 0.667
0.678 0.500 0.167
```

Computed properties:
* final energy: -3.207 eV per atom
* crystal system: orthorhombic
* N(E_F): 1.0 states/eV/f.u.
* energy relative to the elements, uncorrected: -0.665 eV per atom


(13)
SrCuCl | PBE-GGA | optimized geometry

The structure in POSCAR format:
```
SrCuCl
1.0
7.151 0.000 0.000
0.000 7.151 0.000
0.000 0.000 7.151
Sr Cu Cl
4 4 4
Direct
0.000 0.000 0.000
0.000 0.500 0.500
0.500 0.000 0.500
0.500 0.500 0.000
0.250 0.250 0.750
0.250 0.750 0.250
0.750 0.250 0.250
0.750 0.750 0.750
0.250 0.250 0.250
0.250 0.750 0.750
0.750 0.250 0.750
0.750 0.750 0.250
```

Computed properties:
* final energy: -3.336 eV per atom
* crystal system: cubic
* N(E_F): 0.0 states/eV/f.u.
* energy relative to the elements, uncorrected: -0.795 eV per atom


(14)
SrCuCl2 | PBE-GGA | optimized geometry

The structure in POSCAR format:
```
SrCuCl2
1.0
9.420 0.000 0.000
0.000 4.538 0.000
-0.443 0.000 5.262
Sr Cu Cl
2 2 4
Direct
0.000 0.000 0.000
0.500 0.500 0.000
0.000 0.500 0.500
0.500 0.000 0.500
0.170 0.500 0.216
0.330 0.000 0.784
0.670 0.000 0.216
0.830 0.500 0.784
```

Computed properties:
* final energy: -3.446 eV per atom
* crystal system: monoclinic
* N(E_F): 2.0 states/eV/f.u.
* energy relative to the elements, uncorrected: -1.078 eV per atom


(15)
SrCu2Cl | PBE-GGA | optimized geometry

The structure in POSCAR format:
```
SrCu2Cl
1.0
3.647 0.000 0.000
0.000 3.626 0.000
-1.589 0.000 7.039
Sr Cu Cl
1 2 1
Direct
0.000 0.000 0.000
0.341 0.000 0.650
0.838 0.500 0.646
0.588 0.500 0.200
```

Computed properties:
* final energy: -3.475 eV per atom
* crystal system: monoclinic
* N(E_F): 1.1 states/eV/f.u.
* energy relative to the elements, uncorrected: -0.545 eV per atom


(16)
SrCuCl2 | PBE-GGA | optimized geometry

The structure in POSCAR format:
```
SrCuCl2
1.0
3.637 0.000 0.000
0.000 3.962 0.000
0.000 0.000 6.750
Sr Cu Cl
1 1 2
Direct
0.000 0.000 0.000
0.500 0.000 0.500
0.500 0.500 0.231
0.500 0.500 0.769
```

Computed properties:
* final energy: -3.330 eV per atom
* crystal system: orthorhombic
* N(E_F): 1.9 states/eV/f.u.
* energy relative to the elements, uncorrected: -0.962 eV per atom


(17)
SrCu3Cl8 | PBE-GGA | optimized geometry

The structure in POSCAR format:
```
SrCu3Cl8
1.0
6.359 0.000 0.000
-3.180 5.507 0.000
0.000 0.000 8.138
Sr Cu Cl
1 3 8
Direct
0.000 0.000 0.000
0.000 0.000 0.500
0.333 0.667 0.734
0.667 0.333 0.266
0.009 0.710 0.681
0.290 0.299 0.681
0.299 0.009 0.319
0.333 0.667 0.009
0.667 0.333 0.991
0.701 0.991 0.681
0.710 0.701 0.319
0.991 0.290 0.319
```

Computed properties:
* final energy: -3.276 eV per atom
* crystal system: trigonal
* N(E_F): 8.8 states/eV/f.u.
* energy relative to the elements, uncorrected: -0.880 eV per atom


(18)
SrCuCl2 | PBE-GGA | optimized geometry

The structure in POSCAR format:
```
SrCuCl2
1.0
4.199 0.000 0.000
0.000 4.369 0.000
-1.618 0.000 5.175
Sr Cu Cl
1 1 2
Direct
0.000 0.000 0.000
0.000 0.500 0.500
0.500 0.000 0.500
0.500 0.500 0.000
```

Computed properties:
* final energy: -3.411 eV per atom
* crystal system: monoclinic
* N(E_F): 1.4 states/eV/f.u.
* energy relative to the elements, uncorrected: -1.043 eV per atom


(19)
Sr2CuCl | PBE-GGA | optimized geometry

The structure in POSCAR format:
```
Sr2CuCl
1.0
3.987 0.000 0.000
0.000 3.817 0.000
-0.055 0.000 8.352
Sr Cu Cl
2 1 1
Direct
0.001 0.000 0.217
0.999 0.000 0.783
0.500 0.500 0.000
0.000 0.500 0.500
```

Computed properties:
* final energy: -3.137 eV per atom
* crystal system: monoclinic
* N(E_F): 2.3 states/eV/f.u.
* energy relative to the elements, uncorrected: -0.810 eV per atom


(20)
Sr2CuCl | PBE-GGA | optimized geometry

The structure in POSCAR format:
```
Sr2CuCl
1.0
7.954 0.000 0.000
0.000 7.954 0.000
0.000 0.000 7.954
Sr Cu Cl
8 4 4
Direct
0.000 0.000 0.000
0.000 0.500 0.500
0.250 0.250 0.250
0.250 0.750 0.750
0.500 0.000 0.500
0.500 0.500 0.000
0.750 0.250 0.750
0.750 0.750 0.250
0.000 0.000 0.500
0.000 0.500 0.000
0.500 0.000 0.000
0.500 0.500 0.500
0.250 0.250 0.750
0.250 0.750 0.250
0.750 0.250 0.250
0.750 0.750 0.750
```

Computed properties:
* final energy: -2.402 eV per atom
* crystal system: cubic
* N(E_F): 1.0 states/eV/f.u.
* energy relative to the elements, uncorrected: -0.075 eV per atom